Record 1
The following is a DFT calculation (GGA-PBE) of a geometry-optimized Tl2Sb2Cl structure.

Summary:
* V: 335 Å³/cell
* energy above the most stable polymorph in this dataset: 0.280 eV/atom
* electronic total energy: -3.002 eV/atom
* ΔE_f (raw): -37 meV/atom

```
data_Tl2Sb2Cl
_space_group_name_H-M_alt 'P 4/m b m'
_space_group_IT_number 127
_space_group_name_Hall '-P 4 2ab'
_cell_length_a 9.9571
_cell_length_b 9.9571
_cell_length_c 3.3804
_cell_angle_alpha 90.00
_cell_angle_beta 90.00
_cell_angle_gamma 90.00
loop_
_atom_site_label
_atom_site_fract_x
_atom_site_fract_y
_atom_site_fract_z
Tl1 0.1939 0.3061 0.0000
Sb1 0.0995 0.5995 0.5000
Cl1 0.0000 0.0000 0.0000
```


Record 2
The following is a DFT calculation (GGA-PBE) of a geometry-optimized TlSbCl2 structure.

Summary:
* V: 215 Å³/cell
* energy above the most stable polymorph in this dataset: 0.120 eV/atom
* electronic total energy: -2.984 eV/atom
* ΔE_f (raw): -438 meV/atom

```
data_TlSbCl2
_space_group_name_H-M_alt 'C m m m'
_space_group_IT_number 65
_space_group_name_Hall '-C 2 2'
_cell_length_a 3.5566
_cell_length_b 6.2150
_cell_length_c 9.7271
_cell_angle_alpha 90.00
_cell_angle_beta 90.00
_cell_angle_gamma 90.00
loop_
_atom_site_label
_atom_site_fract_x
_atom_site_fract_y
_atom_site_fract_z
Tl1 0.0000 0.0000 0.0000
Sb1 0.0000 0.0000 0.5000
Cl1 0.0000 0.5000 0.2694
```


Record 3
The following is a DFT calculation (GGA-PBE) of a geometry-optimized TlSbCl2 structure.

Summary:
* V: 258 Å³/cell
* energy above the most stable polymorph in this dataset: 0.280 eV/atom
* electronic total energy: -2.824 eV/atom
* ΔE_f (raw): -278 meV/atom

```
data_TlSbCl2
_space_group_name_H-M_alt 'C m m 2'
_space_group_IT_number 35
_cell_length_a 4.3537
_cell_length_b 6.2684
_cell_length_c 9.4646
_cell_angle_alpha 90.00
_cell_angle_beta 90.00
_cell_angle_gamma 90.00
loop_
_space_group_symop_operation_xyz
'x,y,z'
'-x,-y,z'
'-x,y,z'
'x,-y,z'
'x+1/2,y+1/2,z'
'-x+1/2,-y+1/2,z'
'-x+1/2,y+1/2,z'
'x+1/2,-y+1/2,z'
loop_
_atom_site_label
_atom_site_fract_x
_atom_site_fract_y
_atom_site_fract_z
Tl1 0.0000 0.0000 0.0000
Sb1 0.0000 0.5000 0.6822
Cl1 0.0000 0.0000 0.5226
Cl2 0.0000 0.5000 0.1798
```


Record 4
The following is a DFT calculation (GGA-PBE) of a geometry-optimized Tl2Sb2Cl7 structure.

Summary:
* V: 727 Å³/cell
* energy above the most stable polymorph in this dataset: 0.000 eV/atom
* electronic total energy: -3.171 eV/atom
* ΔE_f (raw): -817 meV/atom

```
data_Tl2Sb2Cl7
_space_group_name_H-M_alt 'C 1 2/m 1'
_space_group_IT_number 12
_cell_length_a 8.5862
_cell_length_b 9.9452
_cell_length_c 8.5323
_cell_angle_alpha 90.00
_cell_angle_beta 93.46
_cell_angle_gamma 90.00
loop_
_space_group_symop_operation_xyz
'x,y,z'
'-x,-y,-z'
'-x,y,-z'
'x,-y,z'
'x+1/2,y+1/2,z'
'-x+1/2,-y+1/2,-z'
'-x+1/2,y+1/2,-z'
'x+1/2,-y+1/2,z'
loop_
_atom_site_label
_atom_site_fract_x
_atom_site_fract_y
_atom_site_fract_z
Tl1 0.0000 0.2293 0.0000
Sb1 0.1895 0.0000 0.4918
Cl1 0.0000 0.5000 0.5000
Cl2 0.1936 0.0000 0.1389
Cl3 0.1964 0.1819 0.6872
```


Record 5
The following is a DFT calculation (GGA-PBE) of a geometry-optimized TlSbCl2 structure.

Summary:
* V: 213 Å³/cell
* energy above the most stable polymorph in this dataset: 0.238 eV/atom
* electronic total energy: -2.865 eV/atom
* ΔE_f (raw): -320 meV/atom

```
data_TlSbCl2
_space_group_name_H-M_alt 'C m m m'
_space_group_IT_number 65
_space_group_name_Hall '-C 2 2'
_cell_length_a 7.7644
_cell_length_b 8.1589
_cell_length_c 3.3616
_cell_angle_alpha 90.00
_cell_angle_beta 90.00
_cell_angle_gamma 90.00
loop_
_atom_site_label
_atom_site_fract_x
_atom_site_fract_y
_atom_site_fract_z
Tl1 0.0000 0.0000 0.0000
Sb1 0.0000 0.5000 0.0000
Cl1 0.2500 0.2500 0.5000
```


Record 6
The following is a DFT calculation (GGA-PBE) of a geometry-optimized TlVSbCl6 structure.

Summary:
* V: 281 Å³/cell
* electronic total energy: -3.962 eV/atom
* ΔE_f (raw): -997 meV/atom

```
data_TlVSbCl6
_space_group_name_H-M_alt 'P 3 1 2'
_space_group_IT_number 149
_cell_length_a 6.7831
_cell_length_b 6.7831
_cell_length_c 7.0418
_cell_angle_alpha 90.00
_cell_angle_beta 90.00
_cell_angle_gamma 120.00
loop_
_space_group_symop_operation_xyz
'x,y,z'
'-y,x-y,z'
'-x+y,-x,z'
'-y,-x,-z'
'-x+y,y,-z'
'x,x-y,-z'
loop_
_atom_site_label
_atom_site_fract_x
_atom_site_fract_y
_atom_site_fract_z
Tl1 0.0000 0.0000 0.0000
V1 0.3333 0.6667 0.5000
Sb1 0.6667 0.3333 0.5000
Cl1 0.0219 0.3822 0.7060
```


Record 7
The following is a DFT calculation (GGA-PBE) of a geometry-optimized TlZnSbCl6 structure.

Summary:
* V: 281 Å³/cell
* electronic total energy: -3.066 eV/atom
* ΔE_f (raw): -973 meV/atom

```
data_TlZnSbCl6
_space_group_name_H-M_alt 'P 3 1 2'
_space_group_IT_number 149
_cell_length_a 6.7610
_cell_length_b 6.7610
_cell_length_c 7.0920
_cell_angle_alpha 90.00
_cell_angle_beta 90.00
_cell_angle_gamma 120.00
loop_
_space_group_symop_operation_xyz
'x,y,z'
'-y,x-y,z'
'-x+y,-x,z'
'-y,-x,-z'
'-x+y,y,-z'
'x,x-y,-z'
loop_
_atom_site_label
_atom_site_fract_x
_atom_site_fract_y
_atom_site_fract_z
Tl1 0.0000 0.0000 0.0000
Zn1 0.6667 0.3333 0.5000
Sb1 0.3333 0.6667 0.5000
Cl1 0.3811 0.0204 0.7068
```


Record 8
The following is a DFT calculation (GGA-PBE) of a geometry-optimized V3SbCl structure.

Summary:
* V: 143 Å³/cell
* energy above the most stable polymorph in this dataset: 0.735 eV/atom
* electronic total energy: -5.556 eV/atom
* ΔE_f (raw): 1109 meV/atom

```
data_V3SbCl
_space_group_name_H-M_alt 'P m -3 m'
_space_group_IT_number 221
_space_group_name_Hall '-P 4 2 3'
_cell_length_a 5.2286
_cell_length_b 5.2286
_cell_length_c 5.2286
_cell_angle_alpha 90.00
_cell_angle_beta 90.00
_cell_angle_gamma 90.00
loop_
_atom_site_label
_atom_site_fract_x
_atom_site_fract_y
_atom_site_fract_z
V1 0.0000 0.0000 0.5000
Sb1 0.0000 0.0000 0.0000
Cl1 0.5000 0.5000 0.5000
```